Entry from Alexandria via LeMat-Bulk: a PBEsol-optimized structure of TaMo7 (SCAN).

Structure (POSCAR):
```
TaMo7
1.0
-0.907 -1.099 -2.799
1.468 -2.713 0.590
-10.530 -4.564 5.206
Mo Ta
7 1
direct
0.000 0.000 0.870
0.000 0.000 0.377
0.500 0.500 0.500
0.500 0.500 0.748
0.500 0.500 0.252
0.000 0.000 0.623
0.000 0.000 0.130
0.500 0.500 0.000
```

Results
Magnetic moment in μB per formula unit: 0.0
VASP energy in eV/atom: -38.916
Energy relative to the lowest polymorph listed for this composition in meV/atom: 6
ΔE_f in meV per atom: -69

Entry from Alexandria via LeMat-Bulk: a PBEsol-optimized structure of Ta3Mo (SCAN).

Structure (POSCAR):
```
Ta3Mo
1.0
2.842 -0.010 0.000
-1.029 2.649 0.000
0.000 0.000 9.028
Mo Ta
1 3
direct
0.000 0.000 0.000
0.500 0.500 0.760
0.000 0.000 0.500
0.500 0.500 0.240
```

Results
Magnetic moment in μB per formula unit: 0.0
VASP energy in eV/atom: -58.723
Energy relative to the lowest polymorph listed for this composition in meV/atom: 56
ΔE_f in meV per atom: -64

Entry from Alexandria via LeMat-Bulk: a PBEsol-optimized structure of Ta2Mo (SCAN).

Structure (POSCAR):
```
Ta2Mo
1.0
-0.290 2.700 -1.651
1.277 -1.417 -2.542
-10.236 -3.653 -1.118
Ta Mo
4 2
direct
0.429 0.429 0.857
0.679 0.179 0.357
0.571 0.571 0.143
0.821 0.321 0.643
0.000 0.000 0.000
0.250 0.750 0.500
```

Results
Magnetic moment in μB per formula unit: 0.0
VASP energy in eV/atom: -55.562
Energy relative to the lowest polymorph listed for this composition in meV/atom: 621
ΔE_f in meV per atom: 456

Q: Which of these has the lowest ΔE_f?
A: TaMo7

Q: Look up the ΔE_f of the first one.
A: -69 meV per atom

Q: Among the records above, which one has the lowest ΔE_f?
A: TaMo7